1.
PmVGe | GGA-PBE | relaxed

* offset from the most stable computed form: 22.17 kcal/mol of atoms
* magnetic moment: 0.54 μB per formula unit
* ΔH_f (0 K): 0.72 eV per atom
* SG: No. 107

Unit cell a=2.898 b=2.898 c=8.077 alpha=100.33 beta=100.33 gamma=90.00
Site moments in Bohr magnetons follow the coordinates.
Atoms (fractional coordinates):
1 Ge 0.782 0.782 0.563  -0.01
2 V 0.939 0.939 0.878  0.45
3 Pm 0.129 0.129 0.259  0.01

***

2.
NbMo6S8 | GGA-PBE | relaxed

* magnetic moment: 1.19 μB per formula unit
* formation energy without anion corrections: -0.6248 eV/atom
* SG: No. 148

Unit cell a=6.383 b=6.383 c=6.383 alpha=90.05 beta=90.05 gamma=90.05
Site moments in Bohr magnetons follow the coordinates.
Atoms (fractional coordinates):
1 Nb 0.000 0.000 0.000  1.30
2 Mo 0.579 0.784 0.444  -0.03
3 Mo 0.784 0.444 0.579  -0.03
4 Mo 0.444 0.579 0.784  -0.03
5 Mo 0.421 0.216 0.556  -0.03
6 Mo 0.216 0.556 0.421  -0.03
7 Mo 0.556 0.421 0.216  -0.03
8 S 0.771 0.771 0.771  -0.02
9 S 0.229 0.229 0.229  -0.02
10 S 0.645 0.239 0.869  -0.01
11 S 0.239 0.869 0.645  -0.01
12 S 0.869 0.645 0.239  -0.01
13 S 0.355 0.761 0.131  -0.01
14 S 0.761 0.131 0.355  -0.01
15 S 0.131 0.355 0.761  -0.01

***

3.
LaZrHg2Pb | GGA-PBE | relaxed

* magnetic moment: 0.41 μB per formula unit
* ΔH_f (0 K): 0.86 eV per atom
* SG: No. 123

Unit cell a=5.862 b=5.384 c=5.862 alpha=90.00 beta=90.00 gamma=90.00
Site moments in Bohr magnetons follow the coordinates.
Atoms (fractional coordinates):
1 Pb 0.500 0.500 0.500  -0.01
2 Hg 0.000 0.000 0.500  0.00
3 Hg 0.500 0.000 0.000  0.00
4 Zr 0.000 0.500 0.000  0.24
5 La 0.000 0.000 0.000  0.11

***

4.
YMn3Br | GGA-PBE | relaxed

* offset from the most stable computed form: 18.45 kcal/mol of atoms
* magnetic moment: 12.99 μB per formula unit
* formation energy without anion corrections: 1.4992 eV/atom
* SG: No. 221

Unit cell a=5.481 b=5.481 c=5.481 alpha=90.00 beta=90.00 gamma=90.00
Site moments in Bohr magnetons follow the coordinates.
Atoms (fractional coordinates):
1 Y 0.000 0.000 0.000  0.44
2 Mn 0.000 0.500 0.000  -4.05
3 Mn 0.000 0.000 0.500  -3.76
4 Mn 0.500 0.000 0.000  -4.30
5 Br 0.500 0.500 0.500  -0.16

***

5.
TlHgSb | GGA-PBE | relaxed

* magnetic moment: 0.00 μB per formula unit
* formation energy without anion corrections: 0.0653 eV/atom
* SG: No. 2

Unit cell a=5.833 b=5.829 c=6.433 alpha=107.75 beta=107.21 gamma=110.42
Atoms (fractional coordinates):
1 Tl 0.579 0.915 0.248
2 Tl 0.421 0.085 0.752
3 Sb 0.000 0.000 0.000
4 Sb 0.500 0.500 0.500
5 Hg 0.934 0.570 0.252
6 Hg 0.066 0.430 0.748

***

6.
CePmTe2 | GGA-PBE | relaxed

* offset from the most stable computed form: 2.76 kcal/mol of atoms
* magnetic moment: 2.10 μB per formula unit
* formation energy without anion corrections: -1.2729 eV/atom
* SG: No. 123

Unit cell a=3.860 b=5.460 c=5.460 alpha=90.00 beta=90.00 gamma=90.00
Site moments in Bohr magnetons follow the coordinates.
Atoms (fractional coordinates):
1 Te 0.000 0.000 0.500  -0.03
2 Te 0.000 0.500 0.000  -0.03
3 Ce 0.500 0.000 0.000  1.15
4 Pm 0.500 0.500 0.500  0.31

***

7.
PuTh2Os2 | GGA-PBE | relaxed

* magnetic moment: 4.85 μB per formula unit
* ΔH_f (0 K): -0.23 eV per atom
* SG: No. 15

Unit cell a=5.846 b=5.922 c=7.950 alpha=100.07 beta=90.00 gamma=119.58
Site moments in Bohr magnetons follow the coordinates.
Atoms (fractional coordinates):
1 Pu 0.845 0.000 0.250  4.76
2 Pu 0.155 0.000 0.750  4.76
3 Th 0.515 0.299 0.152  0.11
4 Th 0.216 0.701 0.348  0.11
5 Th 0.485 0.701 0.848  0.11
6 Th 0.784 0.299 0.652  0.11
7 Os 0.734 0.734 0.499  -0.22
8 Os 0.000 0.266 0.001  -0.22
9 Os 0.266 0.266 0.501  -0.22
10 Os 0.000 0.734 0.999  -0.22

***

8.
YMnAl2 | GGA-PBE | relaxed

* magnetic moment: 3.80 μB per formula unit
* ΔH_f (0 K): -0.15 eV per atom
* SG: No. 123

Unit cell a=7.381 b=4.252 c=4.276 alpha=90.04 beta=54.54 gamma=125.19
Site moments in Bohr magnetons follow the coordinates.
Atoms (fractional coordinates):
1 Y 0.500 0.500 0.000  -0.02
2 Mn 0.000 0.500 0.500  3.62
3 Al 0.000 0.000 0.000  -0.02
4 Al 0.500 0.000 0.500  -0.02

***

9.
CaSbP2 | GGA-PBE | relaxed

* magnetic moment: 0.00 μB per formula unit
* formation energy without anion corrections: -0.3676 eV/atom
* SG: No. 8

Unit cell a=6.137 b=6.137 c=4.347 alpha=92.56 beta=92.56 gamma=35.80
Atoms (fractional coordinates):
1 Ca 0.263 0.263 0.129
2 P 0.988 0.988 0.072
3 P 0.731 0.731 0.626
4 Sb 0.519 0.519 0.673

***

10.
Li4TaHg | GGA-PBE | relaxed

* magnetic moment: 1.25 μB per formula unit
* ΔH_f (0 K): 0.38 eV per atom
* SG: No. 216

Unit cell a=5.109 b=5.109 c=5.109 alpha=60.00 beta=60.00 gamma=60.00
Site moments in Bohr magnetons follow the coordinates.
Atoms (fractional coordinates):
1 Li 0.875 0.375 0.375  0.00
2 Li 0.375 0.375 0.875  0.00
3 Li 0.375 0.875 0.375  0.00
4 Li 0.375 0.375 0.375  0.00
5 Ta 0.750 0.750 0.750  0.91
6 Hg 0.000 0.000 0.000  -0.01

***

11.
CeThNiOs | GGA-PBE | relaxed

* offset from the most stable computed form: 0.00 kcal/mol of atoms
* magnetic moment: 0.00 μB per formula unit
* ΔH_f (0 K): -0.34 eV per atom
* SG: No. 38

Unit cell a=3.812 b=4.162 c=5.799 alpha=90.00 beta=109.19 gamma=90.00
Atoms (fractional coordinates):
1 Ce 0.866 0.500 0.732
2 Th 0.137 0.000 0.274
3 Ni 0.588 0.500 0.175
4 Os 0.410 0.000 0.819

***

12.
ErZrTl | GGA-PBE | relaxed

* offset from the most stable computed form: 5.37 kcal/mol of atoms
* magnetic moment: 0.00 μB per formula unit
* ΔH_f (0 K): 0.04 eV per atom
* SG: No. 146

Unit cell a=8.846 b=8.846 c=6.192 alpha=44.41 beta=44.41 gamma=60.00
Atoms (fractional coordinates):
1 Tl 0.073 0.073 0.781
2 Tl 0.406 0.406 0.783
3 Tl 0.739 0.739 0.784
4 Zr 0.738 0.405 0.785
5 Zr 0.072 0.738 0.785
6 Zr 0.405 0.072 0.785
7 Er 0.573 0.905 0.284
8 Er 0.905 0.238 0.284
9 Er 0.238 0.573 0.284

***

13.
BeOsN2 | GGA-PBE | relaxed

* magnetic moment: 0.00 μB per formula unit
* formation energy without anion corrections: 0.0436 eV/atom
* SG: No. 122

Unit cell a=4.410 b=4.410 c=5.090 alpha=64.33 beta=64.33 gamma=90.00
Atoms (fractional coordinates):
1 Be 0.500 0.500 0.000
2 Be 0.250 0.750 0.500
3 Os 0.000 0.000 0.000
4 Os 0.750 0.250 0.500
5 N 0.583 0.125 0.250
6 N 0.167 0.625 0.250
7 N 0.375 0.417 0.750
8 N 0.875 0.833 0.750